No. 1
Entry from the Alexandria database: an optimized crystal structure of CeSn4Pb (PBE-GGA).

a = 6.2441 Å, b = 6.2441 Å, c = 6.2441 Å
α = 60.00°, β = 60.00°, γ = 60.00°
With the nearest neighbours (Å) after each atom.
Fractional coordinates of all 6 atoms:
Sn 0.6252 0.1243 0.6252  6 Sn 3.12-3.13
Sn 0.6252 0.6252 0.6252  6 Sn 3.12-3.13
Sn 0.1243 0.6252 0.6252  6 Sn 3.12-3.13
Sn 0.6252 0.6252 0.1243  6 Sn 3.12-3.13
Pb 0.0000 0.0000 0.0000  12 Sn 3.66, 4 Ce 3.82
Ce 0.2500 0.2500 0.2500  12 Sn 3.66, 4 Pb 3.82

E_tot	-26.5	eV/cell

***

No. 2
Entry from the Alexandria database: an optimized crystal structure of Ce2SnPb2 (PBE-GGA).

a = 5.2096 Å, b = 5.2096 Å, c = 13.2227 Å
α = 90.00°, β = 90.00°, γ = 120.00°
With the nearest neighbours (Å) after each atom.
Fractional coordinates of all 10 atoms:
Pb 0.3333 0.6667 0.2500  3 Sn 3.01
Pb 0.0000 0.0000 0.5000  2 Sn 3.31, 6 Ce 3.32
Pb 0.0000 0.0000 0.0000  2 Sn 3.31, 6 Ce 3.32
Ce 0.6667 0.3333 0.1068  6 Pb 3.32-3.55, 3 Sn 3.55
Sn 0.0000 0.0000 0.7500  5 Pb 3.01-3.31
Sn 0.0000 0.0000 0.2500  5 Pb 3.01-3.31
Pb 0.6667 0.3333 0.7500  3 Sn 3.01
Ce 0.3333 0.6667 0.8932  6 Pb 3.32-3.55, 3 Sn 3.55
Ce 0.6667 0.3333 0.3932  6 Pb 3.32-3.55, 3 Sn 3.55
Ce 0.3333 0.6667 0.6068  6 Pb 3.32-3.55, 3 Sn 3.55

distance to the lowest polymorph of the same formula	24.9	kJ/mol of formula units

***

No. 3
Entry from the Alexandria database: an optimized crystal structure of Ce3Sn2Pb (PBE-GGA).

a = 3.5204 Å, b = 3.5204 Å, c = 13.6390 Å
α = 90.00°, β = 90.00°, γ = 90.00°
With the nearest neighbours (Å) after each atom.
Fractional coordinates of all 6 atoms:
Ce 0.0000 0.0000 0.3266  4 Sn 3.33, 4 Pb 3.43, 4 Ce 3.52
Ce 0.0000 0.0000 0.6734  4 Sn 3.33, 4 Pb 3.43, 4 Ce 3.52
Sn 0.5000 0.5000 0.8358  8 Ce 3.33-3.35, 4 Sn 3.52
Ce 0.0000 0.0000 0.0000  8 Sn 3.35, 4 Ce 3.52
Pb 0.5000 0.5000 0.5000  8 Ce 3.43, 4 Pb 3.52
Sn 0.5000 0.5000 0.1642  8 Ce 3.33-3.35, 4 Sn 3.52

E_tot	-32.7	eV/cell

***

No. 4
Entry from the Alexandria database: an optimized crystal structure of Ce6Sn5Pb (PBE-GGA).

a = 5.8907 Å, b = 9.8542 Å, c = 9.8542 Å
α = 127.36°, β = 107.36°, γ = 107.36°
With the nearest neighbours (Å) after each atom.
Fractional coordinates of all 12 atoms:
Sn 0.5000 0.1652 0.8348  2 Sn 3.23, 8 Ce 3.35-3.37
Ce 0.7460 0.5778 0.9142  2 Ce 3.18-3.28, 7 Sn 3.34-3.37, 1 Pb 3.39
Ce 0.7579 0.2580 0.2580  2 Ce 3.13-3.33, 6 Sn 3.33-3.36, 2 Pb 3.38-3.39
Ce 0.2421 0.7420 0.7420  2 Ce 3.13-3.33, 6 Sn 3.33-3.36, 2 Pb 3.38-3.39
Ce 0.7460 0.9142 0.5778  2 Ce 3.18-3.28, 7 Sn 3.34-3.37, 1 Pb 3.39
Ce 0.2540 0.0858 0.4222  2 Ce 3.18-3.28, 7 Sn 3.34-3.37, 1 Pb 3.39
Pb 0.0000 0.0000 0.0000  2 Sn 3.23, 8 Ce 3.38-3.39
Sn 0.5000 0.8348 0.1652  2 Sn 3.23, 8 Ce 3.35-3.37
Sn 0.0000 0.6670 0.3330  2 Sn 3.23, 8 Ce 3.34-3.35
Sn 0.0000 0.3330 0.6670  2 Sn 3.23, 8 Ce 3.34-3.35
Ce 0.2540 0.4222 0.0858  2 Ce 3.18-3.28, 7 Sn 3.34-3.37, 1 Pb 3.39
Sn 0.5000 0.5000 0.5000  2 Pb 3.23, 8 Ce 3.33-3.37

E_tot	-66.1	eV/cell

***

No. 5
Entry from the Alexandria database: an optimized crystal structure of Ce6Sn2Pb (PBE-GGA).

a = 3.2429 Å, b = 9.6942 Å, c = 9.6942 Å
α = 53.85°, β = 80.37°, γ = 80.37°
With the nearest neighbours (Å) after each atom.
Fractional coordinates of all 9 atoms:
Ce 0.8341 0.5109 0.8210  1 Ce 2.72
Ce 0.1659 0.4891 0.1790  1 Ce 2.72
Sn 0.6571 0.8429 0.8429  2 Sn 3.24, 10 Ce 3.30-3.44
Ce 0.0000 0.8458 0.1542  1 Ce 2.71
Ce 0.1659 0.1790 0.4891  1 Ce 2.72
Sn 0.3429 0.1571 0.1571  2 Sn 3.24, 10 Ce 3.30-3.44
Ce 0.0000 0.1542 0.8458  1 Ce 2.71
Pb 0.5000 0.5000 0.5000  2 Pb 3.24, 12 Ce 3.44-3.52
Ce 0.8341 0.8210 0.5109  1 Ce 2.72

distance to the lowest polymorph of the same formula	24.5	kJ/mol of formula units

***

No. 6
Entry from the Alexandria database: an optimized crystal structure of Ce5SnPb2 (PBE-GGA).

a = 8.5242 Å, b = 8.5242 Å, c = 8.8571 Å
α = 118.76°, β = 118.76°, γ = 90.00°
With the nearest neighbours (Å) after each atom.
Fractional coordinates of all 16 atoms:
Ce 0.9958 0.4958 0.3359  1 Ce 2.84
Pb 0.3679 0.8679 0.0000  1 Pb 3.18, 8 Ce 3.21-3.40
Sn 0.7500 0.7500 0.5000  10 Ce 3.24-3.33
Sn 0.2500 0.2500 0.5000  10 Ce 3.24-3.33
Ce 0.8400 0.9958 0.3359  1 Ce 2.84
Ce 0.3400 0.8400 0.3359  1 Ce 2.84
Ce 0.0042 0.5042 0.6641  1 Ce 2.84
Ce 0.4958 0.3400 0.3359  1 Ce 2.84
Pb 0.1321 0.3679 0.0000  1 Pb 3.18, 8 Ce 3.21-3.40
Ce 0.5000 0.5000 0.0000  2 Sn 3.24, 4 Pb 3.33
Ce 0.1600 0.0042 0.6641  1 Ce 2.84
Ce 0.5042 0.6600 0.6641  1 Ce 2.84
Pb 0.6321 0.1321 0.0000  1 Pb 3.18, 8 Ce 3.21-3.40
Pb 0.8679 0.6321 0.0000  1 Pb 3.18, 8 Ce 3.21-3.40
Ce 0.0000 0.0000 0.0000  2 Sn 3.24, 4 Pb 3.33
Ce 0.6600 0.1600 0.6641  1 Ce 2.84

E_tot	-88.2	eV/cell

***

No. 7
Entry from the Alexandria database: an optimized crystal structure of Ce4Sn3Pb (PBE-GGA).

a = 4.6834 Å, b = 4.4299 Å, c = 11.7767 Å
α = 90.00°, β = 90.00°, γ = 90.00°
With the nearest neighbours (Å) after each atom.
Fractional coordinates of all 8 atoms:
Ce 0.0000 0.5000 0.8641  5 Sn 3.22-3.26, 2 Pb 3.58
Sn 0.0000 0.0000 0.4086  2 Sn 3.08, 5 Ce 3.23-3.26
Ce 0.5000 0.5000 0.3698  1 Pb 3.25, 6 Sn 3.26-3.50
Ce 0.0000 0.0000 0.1339  3 Sn 3.23-3.56, 4 Pb 3.26
Sn 0.5000 0.0000 0.9058  2 Pb 3.13, 5 Ce 3.21-3.26
Ce 0.5000 0.0000 0.6333  7 Sn 3.21-3.53
Pb 0.5000 0.5000 0.0941  2 Sn 3.13, 5 Ce 3.25-3.26
Sn 0.0000 0.5000 0.5903  2 Sn 3.08, 5 Ce 3.22-3.26

E_tot	-43.6	eV/cell

***

No. 8
Entry from the Alexandria database: an optimized crystal structure of Ce4Sn2Pb (PBE-GGA).

a = 6.0846 Å, b = 6.0846 Å, c = 7.4100 Å
α = 114.24°, β = 114.24°, γ = 90.00°
With the nearest neighbours (Å) after each atom.
Fractional coordinates of all 7 atoms:
Ce 0.0000 0.5000 0.0000  2 Ce 3.02, 2 Pb 3.04
Sn 0.6269 0.6269 0.2539  1 Sn 3.06, 8 Ce 3.39-3.41
Ce 0.2500 0.7500 0.5000  2 Ce 3.02
Sn 0.3731 0.3731 0.7461  1 Sn 3.06, 8 Ce 3.39-3.41
Ce 0.5000 0.0000 0.0000  2 Ce 3.02, 2 Pb 3.04
Pb 0.0000 0.0000 0.0000  4 Ce 3.04
Ce 0.7500 0.2500 0.5000  2 Ce 3.02

distance to the lowest polymorph of the same formula	211.0	kJ/mol of formula units